Here is TlAgOs after structural relaxation from Alexandria. Energies are from PBE.

extended XYZ file:
```
3
Lattice="-0.923 -4.386 2.550 2.932 -4.138 -0.930 -0.285 4.891 1.607" Properties=species:S:1:pos:R:3 pbc="T T T"
Os 0.676 -2.868 0.545
Tl 1.346 -5.711 1.085
Ag 1.996 -8.469 1.610
```

Results
- E (eV/atom) = -4.525
- total moment (μB per formula unit) = 0.00
- DOS at the Fermi energy (states/eV/f.u.) = 2.41
- space-group type = Imm2, No. 44